Entry 1:
Here is a geometry-optimized ZnRhAu2 structure from Alexandria. Energies are from PBE.

Cell: 4.078 4.078 7.776 Å, 90.00 90.00 90.00°
Fractional positions:
Zn (0.000, 0.000, 0.000)
Zn (0.500, 0.500, 0.500)
Rh (0.000, 0.000, 0.500)
Rh (0.500, 0.500, 0.000)
Au (0.000, 0.500, 0.250)
Au (0.000, 0.500, 0.750)
Au (0.500, 0.000, 0.250)
Au (0.500, 0.000, 0.750)

Calculated values
**SG**: No. 139
**DFT formation energy**: -58 meV/atom
**Total moment**: 0.0 μB per cell

Entry 2:
Here is a geometry-optimized Pm6ZnAu structure from Alexandria. Energies are from PBE.

Cell: 5.196 5.196 17.626 Å, 90.00 90.00 90.00°
Fractional positions:
Pm (0.000, 0.000, 0.248)
Pm (0.000, 0.000, 0.752)
Pm (0.000, 0.500, 0.104)
Pm (0.000, 0.500, 0.396)
Pm (0.000, 0.500, 0.604)
Pm (0.000, 0.500, 0.896)
Pm (0.500, 0.000, 0.104)
Pm (0.500, 0.000, 0.396)
Pm (0.500, 0.000, 0.604)
Pm (0.500, 0.000, 0.896)
Pm (0.500, 0.500, 0.252)
Pm (0.500, 0.500, 0.748)
Zn (0.000, 0.000, 0.000)
Zn (0.500, 0.500, 0.500)
Au (0.000, 0.000, 0.500)
Au (0.500, 0.500, 0.000)

Calculated values
**SG**: No. 139
**DFT formation energy**: -252 meV/atom
**Total moment**: 0.0 μB per cell

Entry 3:
Here is a geometry-optimized Li3Mg3Cd5 structure from Alexandria. Energies are from PBE.

Cell: 9.842 9.842 2.953 Å, 90.00 90.00 120.00°
Fractional positions:
Li (0.000, 0.840, 0.000)
Li (0.160, 0.160, 0.000)
Li (0.840, 0.000, 0.000)
Mg (0.000, 0.585, 0.500)
Mg (0.415, 0.415, 0.500)
Mg (0.585, 0.000, 0.500)
Cd (0.000, 0.321, 0.000)
Cd (0.321, 0.000, 0.000)
Cd (0.333, 0.667, 0.000)
Cd (0.667, 0.333, 0.000)
Cd (0.679, 0.679, 0.000)

Calculated values
**SG**: No. 189
**DFT formation energy**: 44 meV/atom
**Total moment**: 0.0 μB per cell

Entry 4:
Here is a geometry-optimized PmFeRh structure from Alexandria. Energies are from PBE.

Cell: 3.434 3.434 9.703 Å, 90.00 90.00 90.00°
Fractional positions:
Pm (0.000, 0.000, 0.182)
Pm (0.000, 0.000, 0.818)
Fe (0.500, 0.500, 0.387)
Fe (0.500, 0.500, 0.613)
Rh (0.000, 0.000, 0.500)
Rh (0.500, 0.500, 0.000)

Calculated values
**SG**: No. 123
**DFT formation energy**: -92 meV/atom
**Total moment**: 5.7 μB per cell

Entry 5:
Here is a geometry-optimized TiAgBi2O6 structure from Alexandria. Energies are from PBE.

Cell: 5.468 5.840 10.140 Å, 90.00 120.20 90.00°
Fractional positions:
Ti (0.000, 0.000, 0.000)
Ti (0.000, 0.500, 0.500)
Ag (0.500, 0.000, 0.500)
Ag (0.500, 0.500, 0.000)
Bi (0.293, 0.041, 0.778)
Bi (0.293, 0.459, 0.278)
Bi (0.707, 0.541, 0.722)
Bi (0.707, 0.959, 0.222)
O (0.073, 0.097, 0.202)
O (0.073, 0.403, 0.702)
O (0.271, 0.732, 0.097)
O (0.271, 0.768, 0.597)
O (0.335, 0.174, 0.026)
O (0.335, 0.326, 0.526)
O (0.665, 0.674, 0.474)
O (0.665, 0.826, 0.974)
O (0.729, 0.232, 0.403)
O (0.729, 0.268, 0.903)
O (0.927, 0.597, 0.298)
O (0.927, 0.903, 0.798)

Calculated values
**SG**: No. 14
**ΔE_f (raw)**: -1.4818 eV/atom
**Total moment**: 0.7 μB per cell

Entry 6:
Here is a geometry-optimized Ca2ErZn4 structure from Alexandria. Energies are from PBE.

Cell: 6.970 6.970 7.444 Å, 90.00 90.00 90.00°
Fractional positions:
Ca (0.000, 0.500, 0.000)
Ca (0.000, 0.500, 0.500)
Ca (0.500, 0.000, 0.000)
Ca (0.500, 0.000, 0.500)
Er (0.000, 0.000, 0.000)
Er (0.500, 0.500, 0.500)
Zn (0.250, 0.250, 0.250)
Zn (0.250, 0.250, 0.750)
Zn (0.250, 0.750, 0.250)
Zn (0.250, 0.750, 0.750)
Zn (0.750, 0.250, 0.250)
Zn (0.750, 0.250, 0.750)
Zn (0.750, 0.750, 0.250)
Zn (0.750, 0.750, 0.750)

Calculated values
**SG**: No. 139
**DFT formation energy**: -48 meV/atom
**Total moment**: 0.0 μB per cell